Computed, not measured: crystalline CrGePdO at its relaxed geometry at the PBE+U level of DFT.

CIF file:
```
data_CrGePdO
_chemical_formula_sum 'Cr2 Ge2 Pd2 O2'
_cell_length_a 12.3874
_cell_length_b 3.0949
_cell_length_c 3.3230
_cell_angle_alpha 90.00
_cell_angle_beta 90.14
_cell_angle_gamma 90.00
_symmetry_space_group_name_H-M 'C 1 m 1'
_symmetry_Int_Tables_number 8
_symmetry_space_group_name_Hall 'C -2y'
loop_
_atom_site_label
_atom_site_type_symbol
_atom_site_fract_x
_atom_site_fract_y
_atom_site_fract_z
Cr1 Cr 0.0000 0.0000 0.0000
Ge1 Ge 0.2501 0.5000 0.9963
Pd1 Pd 0.3395 0.0000 0.4973
O1 O 0.1033 0.5000 0.9970
```

electronic total energy: -25.0 eV/f.u.